Model i:
# AsPOs2 | the Alexandria database | meta-GGA SCAN | single point on PBEsol structure
data_AsPOs2
_cell_length_a 2.959
_cell_length_b 2.959
_cell_length_c 6.201
_cell_angle_alpha 90.00
_cell_angle_beta 90.00
_cell_angle_gamma 90.00
_space_group_name_H-M_alt 'P 4/m m m'
_space_group_IT_number 123
_space_group_name_Hall '-P 4 2'
loop_
_atom_site_label
_atom_site_fract_x
_atom_site_fract_y
_atom_site_fract_z
As1 0.000 0.000 0.000
P1 0.000 0.000 0.500
Os1 0.500 0.500 0.277
# spin magnetization	0.0	μB per formula unit

Model ii:
# AsPOs2 | the Alexandria database | meta-GGA SCAN | single point on PBEsol structure
data_AsPOs2
_cell_length_a 2.836
_cell_length_b 4.578
_cell_length_c 8.919
_cell_angle_alpha 90.00
_cell_angle_beta 90.00
_cell_angle_gamma 90.00
_space_group_name_H-M_alt 'I m m m'
_space_group_IT_number 71
_space_group_name_Hall '-I 2 2'
loop_
_atom_site_label
_atom_site_fract_x
_atom_site_fract_y
_atom_site_fract_z
As1 0.000 0.000 0.000
P1 0.000 0.000 0.500
Os1 0.000 0.500 0.207
# spin magnetization	0.0	μB per formula unit

It is model i that is most stable; the runner-up trails by 0.281 eV/atom.

Model i:
# As2OsRh | the Alexandria database | meta-GGA SCAN | single point on PBEsol structure
data_As2OsRh
_cell_length_a 8.593
_cell_length_b 3.173
_cell_length_c 4.520
_cell_angle_alpha 90.00
_cell_angle_beta 104.15
_cell_angle_gamma 90.00
_space_group_name_H-M_alt 'C 1 m 1'
_space_group_IT_number 8
_space_group_name_Hall 'C -2y'
loop_
_atom_site_label
_atom_site_fract_x
_atom_site_fract_y
_atom_site_fract_z
As1 0.000 0.000 0.000
As2 0.238 0.000 0.590
Os1 0.231 0.500 0.135
Rh1 0.009 0.500 0.520
# spin magnetization	0.0	μB per formula unit

Model ii:
# As2OsRh | the Alexandria database | meta-GGA SCAN | single point on PBEsol structure
data_As2OsRh
_cell_length_a 4.229
_cell_length_b 4.229
_cell_length_c 6.473
_cell_angle_alpha 90.00
_cell_angle_beta 90.00
_cell_angle_gamma 90.00
_space_group_name_H-M_alt 'I 4/m m m'
_space_group_IT_number 139
_space_group_name_Hall '-I 4 2'
loop_
_atom_site_label
_atom_site_fract_x
_atom_site_fract_y
_atom_site_fract_z
As1 0.000 0.500 0.250
Os1 0.000 0.000 0.000
Rh1 0.000 0.000 0.500
# spin magnetization	0.0	μB per formula unit

Model iii:
# As2OsRh | the Alexandria database | meta-GGA SCAN | single point on PBEsol structure
data_As2OsRh
_cell_length_a 2.9619
_cell_length_b 2.9619
_cell_length_c 23.1049
_cell_angle_alpha 90.00
_cell_angle_beta 90.00
_cell_angle_gamma 120.00
_space_group_name_H-M_alt 'R -3 m'
_space_group_IT_number 166
_space_group_name_Hall '-R 3 2"'
loop_
_atom_site_label
_atom_site_fract_x
_atom_site_fract_y
_atom_site_fract_z
As1 0.0000 0.0000 0.2501
Os1 0.0000 0.0000 0.0000
Rh1 0.0000 0.0000 0.5000
# spin magnetization	0.0	μB per formula unit

It is model iii that is most stable; the runner-up trails by 0.031 eV/atom.

Model i:
# As2OsRu | the Alexandria database | meta-GGA SCAN | single point on PBEsol structure
data_As2OsRu
_cell_length_a 8.815
_cell_length_b 3.041
_cell_length_c 4.413
_cell_angle_alpha 90.00
_cell_angle_beta 102.94
_cell_angle_gamma 90.00
_space_group_name_H-M_alt 'C 1 m 1'
_space_group_IT_number 8
_space_group_name_Hall 'C -2y'
loop_
_atom_site_label
_atom_site_fract_x
_atom_site_fract_y
_atom_site_fract_z
As1 0.000 0.000 0.000
As2 0.241 0.000 0.610
Os1 0.006 0.500 0.495
Ru1 0.234 0.500 0.094
# spin magnetization	0.0	μB per formula unit

Model ii:
# As2OsRu | the Alexandria database | meta-GGA SCAN | single point on PBEsol structure
data_As2OsRu
_cell_length_a 2.9382
_cell_length_b 2.9382
_cell_length_c 23.1562
_cell_angle_alpha 90.00
_cell_angle_beta 90.00
_cell_angle_gamma 120.00
_space_group_name_H-M_alt 'R -3 m'
_space_group_IT_number 166
_space_group_name_Hall '-R 3 2"'
loop_
_atom_site_label
_atom_site_fract_x
_atom_site_fract_y
_atom_site_fract_z
As1 0.0000 0.0000 0.2492
Os1 0.0000 0.0000 0.0000
Ru1 0.0000 0.0000 0.5000
# spin magnetization	0.0	μB per formula unit

It is model i that is most stable; the runner-up trails by 0.010 eV/atom.

Model i:
# TeAsOs2 | the Alexandria database | meta-GGA SCAN | single point on PBEsol structure
data_TeAsOs2
_cell_length_a 3.831
_cell_length_b 3.831
_cell_length_c 8.875
_cell_angle_alpha 90.00
_cell_angle_beta 90.00
_cell_angle_gamma 90.00
_space_group_name_H-M_alt 'I -4 m 2'
_space_group_IT_number 119
_space_group_name_Hall 'I -4 -2'
loop_
_atom_site_label
_atom_site_fract_x
_atom_site_fract_y
_atom_site_fract_z
Te1 0.000 0.000 0.000
As1 0.000 0.500 0.250
Os1 0.000 0.000 0.500
Os2 0.000 0.500 0.750
# spin magnetization	0.0	μB per formula unit

Model ii:
# TeAsOs2 | the Alexandria database | meta-GGA SCAN | single point on PBEsol structure
data_TeAsOs2
_cell_length_a 6.363
_cell_length_b 6.363
_cell_length_c 6.363
_cell_angle_alpha 90.00
_cell_angle_beta 90.00
_cell_angle_gamma 90.00
_space_group_name_H-M_alt 'F m -3 m'
_space_group_IT_number 225
_space_group_name_Hall '-F 4 2 3'
loop_
_atom_site_label
_atom_site_fract_x
_atom_site_fract_y
_atom_site_fract_z
Te1 0.000 0.000 0.000
As1 0.000 0.000 0.500
Os1 0.250 0.250 0.250
# spin magnetization	0.0	μB per formula unit

It is model ii that is most stable; the runner-up trails by 0.192 eV/atom.

Model i:
# AsP | the Alexandria database | meta-GGA SCAN | single point on PBEsol structure
data_AsP
_cell_length_a 3.251
_cell_length_b 5.478
_cell_length_c 9.742
_cell_angle_alpha 90.00
_cell_angle_beta 90.00
_cell_angle_gamma 90.00
_space_group_name_H-M_alt 'I m m a'
_space_group_IT_number 74
_space_group_name_Hall '-I 2b 2'
loop_
_atom_site_label
_atom_site_fract_x
_atom_site_fract_y
_atom_site_fract_z
As1 0.000 0.250 0.011
P1 0.000 0.250 0.664
# spin magnetization	0.0	μB per formula unit

Model ii:
# AsP | the Alexandria database | meta-GGA SCAN | single point on PBEsol structure
data_AsP
_cell_length_a 3.4238
_cell_length_b 3.4238
_cell_length_c 8.1528
_cell_angle_alpha 90.00
_cell_angle_beta 90.00
_cell_angle_gamma 120.00
_space_group_name_H-M_alt 'P -3 m 1'
_space_group_IT_number 164
_space_group_name_Hall '-P 3 2"'
loop_
_atom_site_label
_atom_site_fract_x
_atom_site_fract_y
_atom_site_fract_z
As1 0.3333 0.6667 0.1771
P1 0.3333 0.6667 0.6602
# spin magnetization	0.0	μB per formula unit

It is model ii that is most stable; the runner-up trails by 0.308 eV/atom.

Model i:
# AsP | the Alexandria database | meta-GGA SCAN | single point on PBEsol structure
data_AsP
_cell_length_a 10.616
_cell_length_b 3.560
_cell_length_c 4.142
_cell_angle_alpha 90.00
_cell_angle_beta 90.29
_cell_angle_gamma 90.00
_space_group_name_H-M_alt 'C 1 2/m 1'
_space_group_IT_number 12
_space_group_name_Hall '-C 2y'
loop_
_atom_site_label
_atom_site_fract_x
_atom_site_fract_y
_atom_site_fract_z
As1 0.116 0.000 0.074
P1 0.102 0.500 0.456
# spin magnetization	0.0	μB per formula unit

Model ii:
# AsP | the Alexandria database | meta-GGA SCAN | single point on PBEsol structure
data_AsP
_cell_length_a 3.616
_cell_length_b 10.932
_cell_length_c 5.144
_cell_angle_alpha 90.00
_cell_angle_beta 90.00
_cell_angle_gamma 90.00
_space_group_name_H-M_alt 'C m m m'
_space_group_IT_number 65
_space_group_name_Hall '-C 2 2'
loop_
_atom_site_label
_atom_site_fract_x
_atom_site_fract_y
_atom_site_fract_z
As1 0.000 0.000 0.000
As2 0.000 0.338 0.500
P1 0.000 0.000 0.500
P2 0.000 0.327 0.000
# spin magnetization	0.0	μB per formula unit

It is model i that is most stable; the runner-up trails by 0.143 eV/atom.

Model i:
# AsP | the Alexandria database | meta-GGA SCAN | single point on PBEsol structure
data_AsP
_cell_length_a 3.6401
_cell_length_b 3.6401
_cell_length_c 9.5849
_cell_angle_alpha 90.00
_cell_angle_beta 90.00
_cell_angle_gamma 120.00
_space_group_name_H-M_alt 'R 3 m'
_space_group_IT_number 160
_space_group_name_Hall 'R 3 -2"'
loop_
_atom_site_label
_atom_site_fract_x
_atom_site_fract_y
_atom_site_fract_z
As1 0.0000 0.0000 0.0000
P1 0.0000 0.0000 0.5392
# spin magnetization	0.0	μB per formula unit

Model ii:
# AsP | the Alexandria database | meta-GGA SCAN | single point on PBEsol structure
data_AsP
_cell_length_a 5.468
_cell_length_b 5.468
_cell_length_c 5.468
_cell_angle_alpha 90.00
_cell_angle_beta 90.00
_cell_angle_gamma 90.00
_space_group_name_H-M_alt 'P 21 3'
_space_group_IT_number 198
_space_group_name_Hall 'P 2ac 2ab 3'
loop_
_atom_site_label
_atom_site_fract_x
_atom_site_fract_y
_atom_site_fract_z
As1 0.034 0.466 0.534
P1 0.036 0.536 0.964
# spin magnetization	0.0	μB per formula unit

It is model i that is most stable; the runner-up trails by 0.009 eV/atom.

Model i:
# As2PPb | the Alexandria database | meta-GGA SCAN | single point on PBEsol structure
data_As2PPb
_cell_length_a 4.797
_cell_length_b 4.797
_cell_length_c 3.521
_cell_angle_alpha 90.00
_cell_angle_beta 90.00
_cell_angle_gamma 90.00
_space_group_name_H-M_alt 'P 4/m m m'
_space_group_IT_number 123
_space_group_name_Hall '-P 4 2'
loop_
_atom_site_label
_atom_site_fract_x
_atom_site_fract_y
_atom_site_fract_z
As1 0.000 0.500 0.000
P1 0.000 0.000 0.500
Pb1 0.500 0.500 0.500
# spin magnetization	0.0	μB per formula unit

Model ii:
# As2PPb | the Alexandria database | meta-GGA SCAN | single point on PBEsol structure
data_As2PPb
_cell_length_a 4.744
_cell_length_b 3.848
_cell_length_c 5.069
_cell_angle_alpha 90.00
_cell_angle_beta 108.09
_cell_angle_gamma 90.00
_space_group_name_H-M_alt 'P 1 2/m 1'
_space_group_IT_number 10
_space_group_name_Hall '-P 2y'
loop_
_atom_site_label
_atom_site_fract_x
_atom_site_fract_y
_atom_site_fract_z
As1 0.247 0.000 0.181
P1 0.500 0.500 0.000
Pb1 0.000 0.500 0.500
# spin magnetization	0.0	μB per formula unit

Model iii:
# As2PPb | the Alexandria database | meta-GGA SCAN | single point on PBEsol structure
data_As2PPb
_cell_length_a 3.9340
_cell_length_b 3.9340
_cell_length_c 19.1038
_cell_angle_alpha 90.00
_cell_angle_beta 90.00
_cell_angle_gamma 120.00
_space_group_name_H-M_alt 'R 3 m'
_space_group_IT_number 160
_space_group_name_Hall 'R 3 -2"'
loop_
_atom_site_label
_atom_site_fract_x
_atom_site_fract_y
_atom_site_fract_z
As1 0.0000 0.0000 0.0000
As2 0.0000 0.0000 0.2598
P1 0.0000 0.0000 0.5228
Pb1 0.0000 0.0000 0.7673
# spin magnetization	0.0	μB per formula unit

It is model ii that is most stable; the runner-up trails by 0.015 eV/atom.

Model i:
# AsPPt2 | the Alexandria database | meta-GGA SCAN | single point on PBEsol structure
data_AsPPt2
_cell_length_a 7.554
_cell_length_b 3.471
_cell_length_c 5.155
_cell_angle_alpha 90.00
_cell_angle_beta 92.42
_cell_angle_gamma 90.00
_space_group_name_H-M_alt 'C 1 m 1'
_space_group_IT_number 8
_space_group_name_Hall 'C -2y'
loop_
_atom_site_label
_atom_site_fract_x
_atom_site_fract_y
_atom_site_fract_z
As1 0.000 0.000 0.000
P1 0.289 0.000 0.507
Pt1 0.083 0.500 0.681
Pt2 0.217 0.500 0.203
# spin magnetization	0.0	μB per formula unit

Model ii:
# AsPPt2 | the Alexandria database | meta-GGA SCAN | single point on PBEsol structure
data_AsPPt2
_cell_length_a 2.802
_cell_length_b 3.455
_cell_length_c 6.555
_cell_angle_alpha 90.00
_cell_angle_beta 90.00
_cell_angle_gamma 90.00
_space_group_name_H-M_alt 'P m m m'
_space_group_IT_number 47
_space_group_name_Hall '-P 2 2'
loop_
_atom_site_label
_atom_site_fract_x
_atom_site_fract_y
_atom_site_fract_z
As1 0.000 0.000 0.000
P1 0.500 0.000 0.500
Pt1 0.500 0.500 0.248
# spin magnetization	0.0	μB per formula unit

It is model i that is most stable; the runner-up trails by 0.370 eV/atom.

Model i:
# AsPRh3 | the Alexandria database | meta-GGA SCAN | single point on PBEsol structure
data_AsPRh3
_cell_length_a 4.335
_cell_length_b 4.335
_cell_length_c 4.335
_cell_angle_alpha 90.00
_cell_angle_beta 90.00
_cell_angle_gamma 90.00
_space_group_name_H-M_alt 'P m -3 m'
_space_group_IT_number 221
_space_group_name_Hall '-P 4 2 3'
loop_
_atom_site_label
_atom_site_fract_x
_atom_site_fract_y
_atom_site_fract_z
As1 0.000 0.000 0.000
P1 0.500 0.500 0.500
Rh1 0.000 0.500 0.500
# spin magnetization	0.0	μB per formula unit

Model ii:
# AsPRh3 | the Alexandria database | meta-GGA SCAN | single point on PBEsol structure
data_AsPRh3
_cell_length_a 4.466
_cell_length_b 4.466
_cell_length_c 4.466
_cell_angle_alpha 90.00
_cell_angle_beta 90.00
_cell_angle_gamma 90.00
_space_group_name_H-M_alt 'P m -3 m'
_space_group_IT_number 221
_space_group_name_Hall '-P 4 2 3'
loop_
_atom_site_label
_atom_site_fract_x
_atom_site_fract_y
_atom_site_fract_z
As1 0.000 0.000 0.000
P1 0.500 0.500 0.500
Rh1 0.000 0.000 0.500
# spin magnetization	1.2	μB per formula unit

It is model i that is most stable; the runner-up trails by 0.588 eV/atom.

Model i:
# AsPRu | the Alexandria database | meta-GGA SCAN | single point on PBEsol structure
data_AsPRu
_cell_length_a 5.817
_cell_length_b 5.817
_cell_length_c 5.817
_cell_angle_alpha 90.00
_cell_angle_beta 90.00
_cell_angle_gamma 90.00
_space_group_name_H-M_alt 'F -4 3 m'
_space_group_IT_number 216
_space_group_name_Hall 'F -4 2 3'
loop_
_atom_site_label
_atom_site_fract_x
_atom_site_fract_y
_atom_site_fract_z
As1 0.000 0.000 0.000
P1 0.250 0.250 0.250
Ru1 0.250 0.250 0.750
# spin magnetization	0.0	μB per formula unit

Model ii:
# AsPRu | the Alexandria database | meta-GGA SCAN | single point on PBEsol structure
data_AsPRu
_cell_length_a 3.1331
_cell_length_b 3.1331
_cell_length_c 5.2325
_cell_angle_alpha 90.00
_cell_angle_beta 90.00
_cell_angle_gamma 120.00
_space_group_name_H-M_alt 'P 3 m 1'
_space_group_IT_number 156
_space_group_name_Hall 'P 3 -2"'
loop_
_atom_site_label
_atom_site_fract_x
_atom_site_fract_y
_atom_site_fract_z
As1 0.0000 0.0000 0.0000
P1 0.3333 0.6667 0.6330
Ru1 0.6667 0.3333 0.3439
# spin magnetization	0.0	μB per formula unit

It is model ii that is most stable; the runner-up trails by 0.656 eV/atom.

Model i:
# SbAs2P | the Alexandria database | meta-GGA SCAN | single point on PBEsol structure
data_SbAs2P
_cell_length_a 3.897
_cell_length_b 3.897
_cell_length_c 5.661
_cell_angle_alpha 90.00
_cell_angle_beta 90.00
_cell_angle_gamma 90.00
_space_group_name_H-M_alt 'P 4 m m'
_space_group_IT_number 99
_space_group_name_Hall 'P 4 -2'
loop_
_atom_site_label
_atom_site_fract_x
_atom_site_fract_y
_atom_site_fract_z
Sb1 0.000 0.000 0.000
As1 0.000 0.000 0.469
As2 0.500 0.500 0.518
P1 0.500 0.500 0.935
# spin magnetization	0.0	μB per formula unit

Model ii:
# SbAs2P | the Alexandria database | meta-GGA SCAN | single point on PBEsol structure
data_SbAs2P
_cell_length_a 3.8581
_cell_length_b 3.8581
_cell_length_c 20.1793
_cell_angle_alpha 90.00
_cell_angle_beta 90.00
_cell_angle_gamma 120.00
_space_group_name_H-M_alt 'R 3 m'
_space_group_IT_number 160
_space_group_name_Hall 'R 3 -2"'
loop_
_atom_site_label
_atom_site_fract_x
_atom_site_fract_y
_atom_site_fract_z
Sb1 0.0000 0.0000 0.0000
As1 0.0000 0.0000 0.2229
As2 0.0000 0.0000 0.4935
P1 0.0000 0.0000 0.7346
# spin magnetization	0.0	μB per formula unit

It is model ii that is most stable; the runner-up trails by 0.029 eV/atom.